(1)
Be2PbSe2: optimized geometry, PBE-GGA.

Computed properties:
M_tot, Bohr magnetons per cell: 0.00
Distance to the lowest polymorph of the same formula, eV per atom: 0.000
Space group: I4/mmm, No. 139
Formation energy (no corrections), eV/atom: 0.088
Electronic total energy, eV/cell: -35.4

abc: 4.6802 4.6802 8.4801
angles: 90.00 90.00 90.00
With the nearest neighbours (Å) after each atom.
Sites, in units of the cell vectors:
1 Be 0.0000 0.0000 0.1380  1 Be 2.34, 4 Se 2.53
2 Be 0.0000 0.0000 0.8620  1 Be 2.34, 4 Se 2.53
3 Be 0.5000 0.5000 0.3620  1 Be 2.34, 4 Se 2.53
4 Be 0.5000 0.5000 0.6380  1 Be 2.34, 4 Se 2.53
5 Pb 0.0000 0.0000 0.5000  2 Be 3.07, 8 Se 3.16
6 Pb 0.5000 0.5000 0.0000  2 Be 3.07, 8 Se 3.16
7 Se 0.0000 0.5000 0.2500  4 Be 2.53
8 Se 0.0000 0.5000 0.7500  4 Be 2.53
9 Se 0.5000 0.0000 0.2500  4 Be 2.53
10 Se 0.5000 0.0000 0.7500  4 Be 2.53



(2)
NaInIBr2: optimized geometry, PBE-GGA.

Computed properties:
M_tot, Bohr magnetons per cell: 0.00
Space group: P4/mmm, No. 123
Formation energy (no corrections), eV/atom: -0.807
Electronic total energy, eV/cell: -13.0

abc: 5.6361 5.6361 6.1787
angles: 90.00 90.00 90.00
With the nearest neighbours (Å) after each atom.
Sites, in units of the cell vectors:
1 Na 0.0000 0.0000 0.0000  4 I 3.99, 8 Br 4.18
2 In 0.5000 0.5000 0.5000  4 Br 2.82, 2 I 3.09
3 I 0.5000 0.5000 0.0000  2 In 3.09
4 Br 0.0000 0.5000 0.5000  2 In 2.82
5 Br 0.5000 0.0000 0.5000  2 In 2.82



(3)
Mn2B4W: optimized geometry, PBE-GGA.

Computed properties:
M_tot, Bohr magnetons per cell: 7.08
Space group: Immm, No. 71
Electronic total energy, eV/cell: -121.7

abc: 3.0184 3.0920 12.8629
angles: 90.00 90.00 90.00
With the nearest neighbours (Å) after each atom.
Sites, in units of the cell vectors:
1 Mn 0.0000 0.0000 0.1862  7 B 2.13-2.22
2 Mn 0.0000 0.0000 0.8138  7 B 2.13-2.22
3 Mn 0.5000 0.5000 0.3138  7 B 2.13-2.22
4 Mn 0.5000 0.5000 0.6862  7 B 2.13-2.22
5 B 0.0000 0.0000 0.3523  2 B 1.80
6 B 0.0000 0.0000 0.6477  2 B 1.80
7 B 0.0000 0.5000 0.0722  3 B 1.80-1.86
8 B 0.0000 0.5000 0.9278  3 B 1.80-1.86
9 B 0.5000 0.0000 0.4278  3 B 1.80-1.86
10 B 0.5000 0.0000 0.5722  3 B 1.80-1.86
11 B 0.5000 0.5000 0.1477  2 B 1.80
12 B 0.5000 0.5000 0.8523  2 B 1.80
13 W 0.0000 0.5000 0.5000  12 B 2.35-2.45
14 W 0.5000 0.0000 0.0000  12 B 2.35-2.45



(4)
La2Re: optimized geometry, PBE-GGA.

Computed properties:
M_tot, Bohr magnetons per cell: 0.00
Distance to the lowest polymorph of the same formula, eV per atom: 0.306
Space group: P-3m1, No. 164
Electronic total energy, eV/cell: -20.9

abc: 4.2181 4.2181 6.4627
angles: 90.00 90.00 120.00
With the nearest neighbours (Å) after each atom.
Sites, in units of the cell vectors:
1 La 0.3333 0.6667 0.2361  3 Re 2.87
2 La 0.6667 0.3333 0.7639  3 Re 2.87
3 Re 0.0000 0.0000 0.0000  6 La 2.87



(5)
PrBi2Au: optimized geometry, PBE-GGA.

Computed properties:
M_tot, Bohr magnetons per cell: 0.00
Distance to the lowest polymorph of the same formula, eV per atom: 0.080
Space group: P4/mmm, No. 123
Electronic total energy, eV/cell: -17.9

abc: 4.9201 4.9201 4.5532
angles: 90.00 90.00 90.00
With the nearest neighbours (Å) after each atom.
Sites, in units of the cell vectors:
1 Pr 0.0000 0.0000 0.0000  8 Bi 3.35, 4 Au 3.48
2 Bi 0.0000 0.5000 0.5000  4 Au 3.35, 4 Pr 3.35, 4 Bi 3.48
3 Bi 0.5000 0.0000 0.5000  4 Au 3.35, 4 Pr 3.35, 4 Bi 3.48
4 Au 0.5000 0.5000 0.0000  8 Bi 3.35, 4 Pr 3.48



(6)
MgAgMo2: optimized geometry, PBE-GGA.

Computed properties:
M_tot, Bohr magnetons per cell: 0.00
Space group: Cm, No. 8
Electronic total energy, eV/cell: -49.4

abc: 9.3688 2.6671 5.4132
angles: 90.00 93.71 90.00
With the nearest neighbours (Å) after each atom.
Sites, in units of the cell vectors:
1 Mg 0.0000 0.0000 0.0000  2 Mg 2.67, 3 Ag 2.70-2.86, 3 Mo 2.87-2.95
2 Mg 0.5000 0.5000 0.0000  2 Mg 2.67, 3 Ag 2.70-2.86, 3 Mo 2.87-2.95
3 Ag 0.2476 0.5000 0.2139  2 Ag 2.67, 3 Mg 2.70-2.86
4 Ag 0.7476 0.0000 0.2139  2 Ag 2.67, 3 Mg 2.70-2.86
5 Mo 0.2465 0.0000 0.7105  3 Mo 2.57-2.67
6 Mo 0.4884 0.0000 0.5136  3 Mo 2.57-2.67
7 Mo 0.7465 0.5000 0.7105  3 Mo 2.57-2.67
8 Mo 0.9884 0.5000 0.5136  3 Mo 2.57-2.67